1.
First-principles (PBE) data for an optimized crystal structure of TbIn6Se8, as listed in Alexandria via LeMat-Bulk.

```
TbIn6Se8
1.0
7.555 0.195 0.201
-0.041 7.557 0.201
-0.041 -0.042 7.560
Tb In Se
1 6 8
Direct
0.000 0.000 0.000
0.617 0.386 0.889
0.386 0.889 0.617
0.889 0.617 0.386
0.383 0.614 0.111
0.614 0.111 0.383
0.111 0.383 0.614
0.673 0.673 0.673
0.327 0.327 0.327
0.691 0.828 0.159
0.828 0.159 0.691
0.159 0.691 0.828
0.309 0.172 0.841
0.172 0.841 0.309
0.841 0.309 0.172
```

Energy relative to the elements, uncorrected in eV/atom: -0.589
Raw total energy in eV/atom: -3.852
M_tot in μB/atom: 0.000

2.
First-principles (PBE) data for an optimized crystal structure of Ag6SeBr2Cl, as listed in Alexandria via LeMat-Bulk.

```
Ag6SeBr2Cl
1.0
7.255 0.000 -0.068
0.000 6.049 0.000
-3.011 -3.024 5.602
Ag Se Br Cl
6 1 2 1
Direct
0.281 0.736 0.473
0.134 0.125 0.758
0.866 0.368 0.242
0.134 0.632 0.758
0.866 0.875 0.242
0.719 0.264 0.527
0.000 0.500 0.000
0.341 0.265 0.531
0.659 0.735 0.469
0.500 0.000 0.000
```

Energy relative to the elements, uncorrected in eV/atom: -0.109
Raw total energy in eV/atom: -2.687
M_tot in μB/atom: 0.000

3.
First-principles (PBE) data for an optimized crystal structure of BaTa2Cu, as listed in Alexandria via LeMat-Bulk.

```
BaTa2Cu
1.0
4.924 0.000 0.000
2.462 4.264 0.000
2.462 1.421 4.020
Ba Cu Ta
1 1 2
Direct
0.500 0.500 0.500
0.750 0.750 0.750
0.000 0.000 0.000
0.250 0.250 0.250
```

Raw total energy in eV/atom: -6.426
Calculated formation energy in eV/atom: 1.00
M_tot in μB/atom: 0.000
Energy above the most stable polymorph in this dataset in meV per atom: 500.9

4.
First-principles (PBE) data for an optimized crystal structure of PmEuGeIr, as listed in Alexandria via LeMat-Bulk.

```
PmEuGeIr
1.0
-2.116 2.369 3.978
-4.737 -1.184 1.443
-0.779 -2.529 4.349
Eu Ge Ir Pm
1 1 1 1
Direct
0.000 0.000 0.000
0.250 0.250 0.250
0.750 0.750 0.750
0.500 0.500 0.500
```

Raw total energy in eV/atom: -7.593
Calculated formation energy in eV/atom: -0.47
M_tot in μB/atom: 1.690

5.
First-principles (PBE) data for an optimized crystal structure of LaPr8Er6, as listed in Alexandria via LeMat-Bulk.

```
LaPr8Er6
1.0
6.001 0.000 0.000
0.000 8.617 -4.975
0.000 0.000 9.951
La Pr Er
1 8 6
Direct
0.500 0.000 0.000
0.778 0.053 0.276
0.778 0.724 0.777
0.778 0.223 0.947
0.222 0.947 0.724
0.222 0.276 0.223
0.222 0.777 0.053
0.782 0.333 0.667
0.218 0.667 0.333
0.738 0.621 0.094
0.738 0.906 0.526
0.738 0.474 0.379
0.262 0.379 0.906
0.262 0.094 0.474
0.262 0.526 0.621
```

Raw total energy in eV/atom: -4.553
Calculated formation energy in eV/atom: 0.15
M_tot in μB/atom: 0.000

6.
First-principles (PBE) data for an optimized crystal structure of Li2PBr, as listed in Alexandria via LeMat-Bulk.

```
Li2PBr
1.0
-2.942 0.168 -1.460
1.050 -2.045 -2.350
-2.355 -5.882 4.067
Br Li P
1 2 1
Direct
0.500 0.500 0.946
0.000 0.000 0.810
0.500 0.500 0.278
0.000 0.000 0.465
```

Energy relative to the elements, uncorrected in eV/atom: -0.578
Raw total energy in eV/atom: -3.306
M_tot in μB/atom: 0.000
Energy above the most stable polymorph in this dataset in meV per atom: 9.8

7.
First-principles (PBE) data for an optimized crystal structure of SrBiPCl2, as listed in Alexandria via LeMat-Bulk.

```
SrBiPCl2
1.0
5.454 0.000 0.000
0.000 5.454 0.000
0.000 0.000 5.401
Sr Bi P Cl
1 1 1 2
Direct
0.500 0.500 0.500
0.000 0.000 0.000
0.000 0.000 0.500
0.000 0.500 0.000
0.500 0.000 0.000
```

Energy relative to the elements, uncorrected in eV/atom: -0.659
Raw total energy in eV/atom: -3.592
M_tot in μB/atom: 0.000
Energy above the most stable polymorph in this dataset in meV per atom: 0.0

8.
First-principles (PBE) data for an optimized crystal structure of GdCu2Sn, as listed in Alexandria via LeMat-Bulk.

```
GdCu2Sn
1.0
-3.252 -1.028 -1.977
-1.524 -2.139 3.620
-2.017 3.751 1.367
Gd Sn Cu
1 1 2
Direct
0.500 0.500 0.500
0.500 0.000 0.000
0.000 0.000 0.500
0.000 0.500 0.000
```

Raw total energy in eV/atom: -6.756
Calculated formation energy in eV/atom: -0.19
M_tot in μB/atom: 1.843